ZnCr2Tc | PBE | optimized geometry

Calculated values
V: 13.0 Å³ per atom
energy of formation from the pure elements: 0.27 eV per atom

Unit cell a=5.1913 b=7.6790 c=2.6153 alpha=90.00 beta=90.00 gamma=90.00
Closest atoms and distances in Å follow each position.
Space group Cmmm (No. 65)
Symmetry-distinct sites (fractional):
Zn 0.0000 0.0000 0.0000 (multiplicity 2)  2 Tc 2.60, 2 Zn 2.62, 8 Cr 2.66
Cr 0.2500 0.2500 0.5000 (multiplicity 4)  4 Cr 2.60-2.62, 4 Zn 2.66, 4 Tc 2.66
Tc 0.0000 0.5000 0.0000 (multiplicity 2)  2 Zn 2.60, 2 Tc 2.62, 8 Cr 2.66